Record 1
Here is a relaxed structure of Lu2In3Mo4N3 from OQMD via LeMat-Bulk. Energies are from GGA-PBE.

## Properties
**Crystal system**: monoclinic
**Total moment**: 0.009 μB/f.u.
**Total DFT energy (no corrections)**: -182.6 eV per cell

Lattice parameters (Å, degrees): 5.6660 5.6660 14.0897 101.51 101.51 60.36
Positions (direct):
Lu: 0.0325 0.8658 0.6010
Lu: 0.1342 0.9675 0.8990
Lu: 0.8658 0.0325 0.1010
Lu: 0.9675 0.1342 0.3990
In: 0.0823 0.3383 0.7484
In: 0.3383 0.0823 0.2484
In: 0.4945 0.5055 0.2500
In: 0.5055 0.4945 0.7500
In: 0.6617 0.9177 0.7516
In: 0.9177 0.6617 0.2516
Mo: 0.1923 0.3702 0.0704
Mo: 0.3213 0.4594 0.4299
Mo: 0.3702 0.1923 0.5704
Mo: 0.4594 0.3213 0.9299
Mo: 0.5406 0.6787 0.0701
Mo: 0.6298 0.8077 0.4296
Mo: 0.6787 0.5406 0.5701
Mo: 0.8077 0.6298 0.9296
N: 0.0000 0.5000 0.5000
N: 0.1576 0.6861 0.0000
N: 0.3139 0.8424 0.5000
N: 0.5000 0.0000 0.0000
N: 0.6861 0.1576 0.5000
N: 0.8424 0.3139 0.0000

Record 2
Here is a relaxed structure of Cu2Ag from OQMD via LeMat-Bulk. Energies are from GGA-PBE.

## Properties
**Energy of formation from the pure elements**: 0.1005 eV/atom
**Crystal system**: trigonal
**Energy above the most stable polymorph in this dataset**: 0.16 eV/f.u.
**Total DFT energy (no corrections)**: -29.9 eV per cell

Lattice parameters (Å, degrees): 2.7302 2.7302 19.5881 90.00 90.00 120.00
Positions (direct):
Cu: 0.0000 0.0000 0.1809
Cu: 0.0000 0.0000 0.8191
Cu: 0.3333 0.6667 0.3843
Cu: 0.3333 0.6667 0.7174
Cu: 0.6667 0.3333 0.2826
Cu: 0.6667 0.3333 0.6157
Ag: 0.0000 0.0000 0.5000
Ag: 0.3333 0.6667 0.0649
Ag: 0.6667 0.3333 0.9351

Record 3
Here is a relaxed structure of ZnPbSO from OQMD via LeMat-Bulk. Energies are from GGA-PBE.

## Properties
**Crystal system**: orthorhombic
**Energy above the most stable polymorph in this dataset**: 0.03 eV/f.u.
**Total DFT energy (no corrections)**: -35.7 eV per cell

Lattice parameters (Å, degrees): 7.2379 7.2379 5.8960 90.00 90.00 149.16
Positions (direct):
Zn: 0.0572 0.9428 0.5000
Zn: 0.9428 0.0572 0.0000
Pb: 0.3340 0.6660 0.4086
Pb: 0.6660 0.3340 0.9086
S: 0.3541 0.6459 0.8966
S: 0.6459 0.3541 0.3966
O: 0.0665 0.9335 0.8427
O: 0.9335 0.0665 0.3427

Record 4
Here is a relaxed structure of Tm3Mg3Al2Ga from OQMD via LeMat-Bulk. Energies are from GGA-PBE.

## Properties
**Crystal system**: hexagonal
**Total moment**: 0.002 μB/f.u.
**Total DFT energy (no corrections)**: -31.7 eV per cell

Lattice parameters (Å, degrees): 7.2793 7.2793 4.4467 90.00 90.00 120.00
Positions (direct):
Tm: 0.0000 0.5738 0.0000
Tm: 0.4262 0.4262 0.0000
Tm: 0.5738 0.0000 0.0000
Mg: 0.0000 0.2409 0.5000
Mg: 0.2409 0.0000 0.5000
Mg: 0.7591 0.7591 0.5000
Al: 0.3333 0.6667 0.5000
Al: 0.6667 0.3333 0.5000
Ga: 0.0000 0.0000 0.0000